Entry 1:
Li2TiB: optimized geometry, GGA-PBE.

Properties
uncorrected energy	-4.336	eV/atom
ΔE_f	0.26	eV per atom

Cell: 3.287 3.287 9.490 Å, 80.03 80.03 90.00°
Element x y z (fractional)
B: 0.500 0.500 0.000
B: 0.250 0.750 0.500
Li: 0.172 0.125 0.250
Li: 0.578 0.625 0.250
Li: 0.375 0.828 0.750
Li: 0.875 0.422 0.750
Ti: 0.000 0.000 0.000
Ti: 0.750 0.250 0.500


Entry 2:
LiTiB3: optimized geometry, GGA-PBE.

Properties
uncorrected energy	-4.620	eV/atom
ΔE_f	1.35	eV per atom

Cell: 4.201 4.201 4.201 Å, 90.00 90.00 90.00°
Element x y z (fractional)
B: 0.000 0.500 0.000
B: 0.000 0.000 0.500
B: 0.500 0.000 0.000
Li: 0.500 0.500 0.500
Ti: 0.000 0.000 0.000


- Which of these has the highest ΔE_f?
  LiTiB3


- What is the uncorrected energy in the second record?
  -4.620 eV/atom